SrCoRuO6: optimized geometry, GGA+U.

Cell: 5.0914 5.0914 5.3367 Å, 90.00 90.00 120.00°
Positions (direct):
Sr 0.0000 0.0000 0.0000
Co 0.3333 0.6667 0.5000
Ru 0.6667 0.3333 0.5000
O 0.0052 0.3920 0.6984
O 0.0052 0.6132 0.3016
O 0.3868 0.3920 0.3016
O 0.3868 0.9948 0.6984
O 0.6080 0.6132 0.6984
O 0.6080 0.9948 0.3016

Crystal system ... trigonal
V ... 119.81 Å³/cell
Energy ... -0.471 Ry/atom